[1]
# AsRuF2

AsRuF2 after structural relaxation (PBE-GGA, Alexandria).

Output
- DOS at the Fermi energy: 2.4 states/eV per cell
- ΔE to the lowest computed polymorph: 492 meV per atom
- ρ: 6.61 Mg/m³
- Formation energy without anion corrections: -104.2 meV per atom
- Electronic total energy: -18.08 eV for the cell shown

a b c (Å): 4.2370 4.2370 4.2370
angles (deg): 60.00 60.00 60.00
Closest atoms and distances in Å follow each position.
Positions (direct):
F1 0.2500 0.2500 0.2500  4 Ru 2.59, 4 As 2.59
F2 0.7500 0.7500 0.7500  4 Ru 2.59, 4 As 2.59
Ru1 0.5000 0.5000 0.5000  8 F 2.59
As1 0.0000 0.0000 0.0000  8 F 2.59

=====

[2]
# NaAgBr2F

NaAgBr2F after structural relaxation (PBE-GGA, Alexandria).

Output
- DOS at the Fermi energy: 1.0 states/eV per cell
- ρ: 4.12 Mg/m³
- Formation energy without anion corrections: -1005.3 meV per atom
- Electronic total energy: -14.41 eV for the cell shown

a b c (Å): 5.3839 5.3839 4.3085
angles (deg): 90.00 90.00 90.00
Closest atoms and distances in Å follow each position.
Positions (direct):
Br1 0.5000 0.0000 0.0000  2 Ag 2.69
Br2 0.0000 0.5000 0.0000  2 Ag 2.69
F1 0.0000 0.0000 0.5000  2 Ag 2.15
Ag1 0.0000 0.0000 0.0000  2 F 2.15
Na1 0.5000 0.5000 0.5000  8 Br 3.45, 4 F 3.81

=====

[3]
# Rb2BaInSb

Rb2BaInSb after structural relaxation (PBE-GGA, Alexandria).

Output
- DOS at the Fermi energy: 2.3 states/eV per cell
- ρ: 3.30 Mg/m³
- Formation energy without anion corrections: 96.6 meV per atom
- Electronic total energy: -10.24 eV for the cell shown

a b c (Å): 6.8372 5.8654 6.8372
angles (deg): 90.00 90.00 90.00
Closest atoms and distances in Å follow each position.
Positions (direct):
Rb1 0.5000 0.0000 0.0000  2 In 3.42
Rb2 0.0000 0.0000 0.5000  2 In 3.42
Ba1 0.5000 0.5000 0.5000  8 Rb 4.50, 4 Sb 4.83
Sb1 0.0000 0.5000 0.0000  2 In 2.93
In1 0.0000 0.0000 0.0000  2 Sb 2.93

=====

[4]
# NaCu2Sb

NaCu2Sb after structural relaxation (PBE-GGA, Alexandria).

Output
- DOS at the Fermi energy: 0.8 states/eV per cell
- ρ: 4.26 Mg/m³
- Formation energy without anion corrections: 94.6 meV per atom
- Electronic total energy: -26.51 eV for the cell shown

a b c (Å): 4.9684 4.9684 9.2736
angles (deg): 74.46 74.46 90.00
Closest atoms and distances in Å follow each position.
Positions (direct):
Cu1 0.8746 0.6250 0.2500  2 Sb 2.48, 2 Cu 2.48
Cu2 0.8750 0.1254 0.7500  2 Sb 2.48, 2 Cu 2.48
Cu3 0.3750 0.1246 0.7500  2 Sb 2.48, 2 Cu 2.48
Cu4 0.8754 0.1250 0.2500  2 Sb 2.48, 2 Cu 2.48
Na1 0.5000 0.5000 0.0000  8 Cu 3.51, 4 Sb 3.51
Na2 0.2500 0.7500 0.5000  8 Cu 3.51, 4 Sb 3.51
Sb1 0.7500 0.2500 0.5000  4 Cu 2.48
Sb2 0.0000 0.0000 0.0000  4 Cu 2.48

=====

[5]
# SrHfPS2

SrHfPS2 after structural relaxation (PBE-GGA, Alexandria).

Output
- DOS at the Fermi energy: 1.8 states/eV per cell
- ΔE to the lowest computed polymorph: 0 meV per atom
- ρ: 4.82 Mg/m³
- Formation energy without anion corrections: -1222.1 meV per atom
- Electronic total energy: -31.41 eV for the cell shown

a b c (Å): 4.9669 4.9669 5.0448
angles (deg): 90.00 90.00 90.00
Closest atoms and distances in Å follow each position.
Positions (direct):
S1 0.0000 0.5000 0.0000  2 Hf 2.48
S2 0.5000 0.0000 0.0000  2 Hf 2.48
Hf1 0.0000 0.0000 0.0000  4 S 2.48, 2 P 2.52
Sr1 0.5000 0.5000 0.5000  4 P 3.51, 8 S 3.54
P1 0.0000 0.0000 0.5000  2 Hf 2.52

=====

[6]
# PrTlSn2Se4

PrTlSn2Se4 after structural relaxation (PBE-GGA, Alexandria).

Output
- ρ: 6.34 Mg/m³
- Formation energy without anion corrections: -837.6 meV per atom
- Electronic total energy: -35.79 eV for the cell shown

a b c (Å): 4.3424 7.5395 7.5770
angles (deg): 71.45 90.00 90.00
Closest atoms and distances in Å follow each position.
Positions (direct):
Se1 0.5000 0.7506 0.2654  3 Sn 2.97-3.14, 2 Pr 3.05, 1 Tl 3.17
Se2 0.5000 0.2494 0.7346  3 Sn 2.97-3.14, 2 Pr 3.05, 1 Tl 3.17
Se3 0.0000 0.7613 0.7274  3 Sn 2.99-3.14, 1 Pr 3.00, 2 Tl 3.20
Se4 0.0000 0.2387 0.2726  3 Sn 2.99-3.14, 1 Pr 3.00, 2 Tl 3.20
Sn1 0.5000 0.0000 0.5000  6 Se 2.97-2.99
Sn2 0.0000 0.0000 0.0000  6 Se 3.14
Pr1 0.0000 0.5000 0.5000  6 Se 3.00-3.05
Tl1 0.5000 0.5000 0.0000  6 Se 3.17-3.20

=====

[7]
# NiAuS2

NiAuS2 after structural relaxation (PBE-GGA, Alexandria).

Output
- DOS at the Fermi energy: 10.1 states/eV per cell
- ρ: 6.96 Mg/m³
- Formation energy without anion corrections: -68.4 meV per atom
- Electronic total energy: -35.17 eV for the cell shown

a b c (Å): 5.4948 5.4948 6.3764
angles (deg): 64.48 64.48 90.00
Closest atoms and distances in Å follow each position.
Positions (direct):
Au1 0.0000 0.0000 0.0000  4 S 2.48
Au2 0.7500 0.2500 0.5000  4 S 2.48
S1 0.8750 0.8268 0.7500  2 Ni 2.17
S2 0.1732 0.6250 0.2500  2 Ni 2.17
S3 0.5768 0.1250 0.2500  2 Ni 2.17
S4 0.3750 0.4232 0.7500  2 Ni 2.17
Ni1 0.2500 0.7500 0.5000  4 S 2.17
Ni2 0.5000 0.5000 0.0000  4 S 2.17

=====

[8]
# Pr2PaMn2N6

Pr2PaMn2N6 after structural relaxation (PBE-GGA, Alexandria).

Output
- DOS at the Fermi energy: 5.3 states/eV per cell
- ρ: 7.20 Mg/m³
- Formation energy without anion corrections: -816.9 meV per atom
- Electronic total energy: -96.33 eV for the cell shown

a b c (Å): 5.6731 5.6731 6.7042
angles (deg): 64.97 64.97 60.00
Closest atoms and distances in Å follow each position.
Positions (direct):
N1 0.7446 0.7446 0.2781  1 Mn 1.72
N2 0.2328 0.7446 0.2781  1 Mn 1.72
N3 0.2554 0.7672 0.7219  1 Mn 1.72
N4 0.7446 0.2328 0.2781  1 Mn 1.72
N5 0.2554 0.2554 0.7219  1 Mn 1.72
N6 0.7672 0.2554 0.7219  1 Mn 1.72
Mn1 0.5962 0.5962 0.2114  3 N 1.72
Mn2 0.4038 0.4038 0.7886  3 N 1.72
Pr1 0.2103 0.2103 0.3690  9 N 2.61-2.89
Pr2 0.7897 0.7897 0.6310  9 N 2.61-2.89
Pa1 0.0000 0.0000 0.0000  6 N 2.28

=====

[9]
# SmPuMn4

SmPuMn4 after structural relaxation (PBE-GGA, Alexandria).

Output
- ΔE_f: 25.10 kJ/mol of atoms
- DOS at the Fermi energy: 5.7 states/eV per cell
- ρ: 10.96 Mg/m³
- Electronic total energy: -54.17 eV for the cell shown

a b c (Å): 5.0859 5.0859 5.0859
angles (deg): 60.00 60.00 60.00
Closest atoms and distances in Å follow each position.
Positions (direct):
Mn1 0.6259 0.1224 0.6259  6 Mn 2.53-2.56
Mn2 0.6259 0.6259 0.1224  6 Mn 2.53-2.56
Mn3 0.1224 0.6259 0.6259  6 Mn 2.53-2.56
Mn4 0.6259 0.6259 0.6259  6 Mn 2.53-2.56
Sm1 0.2500 0.2500 0.2500  12 Mn 2.98, 4 Pu 3.11
Pu1 0.0000 0.0000 0.0000  12 Mn 2.98, 4 Sm 3.11

=====

[10]
# Fe2B6Mo

Fe2B6Mo after structural relaxation (PBE-GGA, Alexandria).

Output
- ΔE_f: -10.76 kJ/mol of atoms
- DOS at the Fermi energy: 4.1 states/eV per cell
- ρ: 6.08 Mg/m³
- Electronic total energy: -68.82 eV for the cell shown

a b c (Å): 3.1181 5.2497 5.2497
angles (deg): 120.00 90.00 90.00
Closest atoms and distances in Å follow each position.
Positions (direct):
B1 0.5000 0.0000 0.3380  3 B 1.70-1.77
B2 0.5000 0.6620 0.0000  3 B 1.70-1.77
B3 0.5000 0.3380 0.0000  3 B 1.70-1.77
B4 0.5000 0.0000 0.6620  3 B 1.70-1.77
B5 0.5000 0.6620 0.6620  3 B 1.70-1.77
B6 0.5000 0.3380 0.3380  3 B 1.70-1.77
Fe1 0.0000 0.6667 0.3333  12 B 2.33
Fe2 0.0000 0.3333 0.6667  12 B 2.33
Mo1 0.0000 0.0000 0.0000  12 B 2.36

=====

[11]
# Be5V4B2

Be5V4B2 after structural relaxation (PBE-GGA, Alexandria).

Output
- ΔE_f: -24.46 kJ/mol of atoms
- DOS at the Fermi energy: 6.4 states/eV per cell
- ρ: 4.25 Mg/m³
- Electronic total energy: -71.25 eV for the cell shown

a b c (Å): 3.1883 5.2827 6.2720
angles (deg): 92.28 90.00 90.00
Closest atoms and distances in Å follow each position.
Positions (direct):
V1 0.5000 0.2011 0.8568  2 B 2.25, 8 Be 2.39-2.40
V2 0.5000 0.7989 0.1432  2 B 2.25, 8 Be 2.39-2.40
V3 0.5000 0.2396 0.4083  4 B 2.29-2.30, 6 Be 2.39-2.45
V4 0.5000 0.7604 0.5917  4 B 2.29-2.30, 6 Be 2.39-2.45
Be1 0.0000 0.1387 0.1341  1 B 1.91, 1 Be 2.12
Be2 0.0000 0.4363 0.6601  1 B 1.93, 2 Be 2.14
Be3 0.0000 0.5000 0.0000  4 Be 2.12-2.14
Be4 0.0000 0.5637 0.3399  1 B 1.93, 2 Be 2.14
Be5 0.0000 0.8613 0.8659  1 B 1.91, 1 Be 2.12
B1 0.0000 0.0723 0.6246  1 B 1.71, 1 Be 1.91
B2 0.0000 0.9277 0.3754  1 B 1.71, 1 Be 1.91

=====

[12]
# LiCd8Rh2

LiCd8Rh2 after structural relaxation (PBE-GGA, Alexandria).

Output
- ΔE_f: -8.42 kJ/mol of atoms
- DOS at the Fermi energy: 6.0 states/eV per cell
- ΔE to the lowest computed polymorph: 31 meV per atom
- ρ: 8.45 Mg/m³
- Electronic total energy: -24.90 eV for the cell shown

a b c (Å): 4.5939 7.0069 7.0069
angles (deg): 104.42 89.97 89.97
Closest atoms and distances in Å follow each position.
Positions (direct):
Cd1 0.9999 0.9629 0.6944  2 Rh 2.83-3.11, 7 Cd 2.90-3.06, 2 Li 3.11
Cd2 0.5001 0.3305 0.3305  1 Li 2.84, 7 Cd 2.91-3.13, 4 Rh 3.02
Cd3 0.5000 0.2502 0.7498  2 Rh 2.72, 1 Li 2.77, 4 Cd 3.01-3.02
Cd4 0.9999 0.6944 0.9629  2 Rh 2.83-3.11, 7 Cd 2.90-3.06, 2 Li 3.11
Cd5 0.0001 0.0371 0.3056  2 Rh 2.83-3.11, 7 Cd 2.90-3.06, 2 Li 3.11
Cd6 0.4999 0.6695 0.6695  1 Li 2.84, 7 Cd 2.91-3.13, 4 Rh 3.02
Cd7 0.5000 0.7498 0.2502  2 Rh 2.72, 1 Li 2.77, 4 Cd 3.01-3.02
Cd8 0.0001 0.3056 0.0371  2 Rh 2.83-3.11, 7 Cd 2.90-3.06, 2 Li 3.11
Rh1 0.0000 0.3818 0.6182  1 Rh 2.62, 4 Cd 2.72-2.83
Rh2 0.0000 0.6182 0.3818  1 Rh 2.62, 4 Cd 2.72-2.83
Li1 0.5000 0.0000 0.0000  4 Cd 2.77-2.84